[1]
Entry from OQMD: a geometry-optimized Er structure (PBE-GGA).

a = 3.4169 Å, b = 3.4169 Å, c = 3.4169 Å
α = 109.47°, β = 109.47°, γ = 109.47°
Fractional coordinates of all 1 atoms:
Er1 0.0000 0.0000 0.0000

As for the space-group type: No. 229. Its spin magnetization is 0.05 μB/f.u. The value obtained for the formation energy is 0.141 eV per atom. Its total energy is -4.42 eV per atom. The relative energy among the computed polymorphs comes out at 0.1414 eV/atom.

***

[2]
Entry from OQMD: a geometry-optimized ScAgPbO3 structure (PBE-GGA).

a = 7.4270 Å, b = 7.4270 Å, c = 7.7871 Å
α = 90.00°, β = 90.00°, γ = 153.79°
Fractional coordinates of all 12 atoms:
Sc1 0.0000 0.0000 0.0000
Sc2 0.0000 0.0000 0.5000
Ag1 0.3588 0.6412 0.7500
Ag2 0.6412 0.3588 0.2500
Pb1 0.3062 0.6938 0.2500
Pb2 0.6938 0.3062 0.7500
O1 0.0323 0.9677 0.2500
O2 0.1364 0.8636 0.5607
O3 0.1364 0.8636 0.9393
O4 0.8636 0.1364 0.0607
O5 0.8636 0.1364 0.4393
O6 0.9677 0.0323 0.7500

As for the space-group type: No. 63. Its spin magnetization is 0.00 μB/f.u. Its total energy is -5.95 eV per atom.

***

[3]
Entry from OQMD: a geometry-optimized CdTc2Bi structure (PBE-GGA).

a = 4.7451 Å, b = 4.7451 Å, c = 4.7451 Å
α = 60.00°, β = 60.00°, γ = 60.00°
Fractional coordinates of all 4 atoms:
Cd1 0.0000 0.0000 0.0000
Tc1 0.2500 0.2500 0.2500
Tc2 0.5000 0.5000 0.5000
Bi1 0.7500 0.7500 0.7500

As for the space-group type: No. 216. Its spin magnetization is 0.12 μB/f.u. Its total energy is -5.66 eV per atom.

***

[4]
Entry from OQMD: a geometry-optimized PrFeMo structure (PBE-GGA).

a = 4.4484 Å, b = 4.4484 Å, c = 4.4484 Å
α = 60.00°, β = 60.00°, γ = 60.00°
Fractional coordinates of all 3 atoms:
Pr1 0.0000 0.0000 0.0000
Fe1 0.7500 0.7500 0.7500
Mo1 0.5000 0.5000 0.5000

As for the space-group type: No. 216. Its spin magnetization is 0.13 μB/f.u. The value obtained for the formation energy is 0.831 eV per atom. Its total energy is -7.15 eV per atom. The relative energy among the computed polymorphs comes out at 0.0000 eV/atom.

***

[5]
Entry from OQMD: a geometry-optimized NdGa3Cu structure (PBE-GGA).

a = 5.9877 Å, b = 5.9877 Å, c = 5.9877 Å
α = 138.43°, β = 138.43°, γ = 60.24°
Fractional coordinates of all 5 atoms:
Nd1 0.0000 0.0000 0.0000
Ga1 0.2519 0.7519 0.5000
Ga2 0.4078 0.4078 0.0000
Ga3 0.7519 0.2519 0.5000
Cu1 0.6374 0.6374 0.0000

As for the space-group type: No. 107. Its spin magnetization is 0.00 μB/f.u. Its total energy is -4.04 eV per atom.

***

[6]
Entry from OQMD: a geometry-optimized BaNaGdS3 structure (PBE-GGA).

a = 7.2245 Å, b = 7.2245 Å, c = 10.5168 Å
α = 90.00°, β = 90.00°, γ = 145.63°
Fractional coordinates of all 12 atoms:
Ba1 0.2441 0.7559 0.7500
Ba2 0.7559 0.2441 0.2500
Na1 0.0272 0.9728 0.2500
Na2 0.9728 0.0272 0.7500
Gd1 0.5000 0.5000 0.0000
Gd2 0.5000 0.5000 0.5000
S1 0.1323 0.8677 0.0470
S2 0.1323 0.8677 0.4530
S3 0.4234 0.5766 0.2500
S4 0.5766 0.4234 0.7500
S5 0.8677 0.1323 0.5470
S6 0.8677 0.1323 0.9530

As for the space-group type: No. 63. Its spin magnetization is 0.00 μB/f.u. Its total energy is -5.14 eV per atom.

***

[7]
Entry from OQMD: a geometry-optimized Re6PdPt structure (PBE-GGA).

a = 5.5703 Å, b = 5.5703 Å, c = 4.4184 Å
α = 90.00°, β = 90.00°, γ = 120.00°
Fractional coordinates of all 8 atoms:
Re1 0.0140 0.5070 0.0000
Re2 0.1752 0.3503 0.5000
Re3 0.1752 0.8248 0.5000
Re4 0.4930 0.5070 0.0000
Re5 0.4930 0.9860 0.0000
Re6 0.6497 0.8248 0.5000
Pd1 0.6667 0.3333 0.5000
Pt1 0.0000 0.0000 0.0000

As for the space-group type: No. 187. Its spin magnetization is 0.00 μB/f.u. The value obtained for the formation energy is -0.147 eV per atom. Its total energy is -10.87 eV per atom.

***

[8]
Entry from OQMD: a geometry-optimized LiBiPd2 structure (PBE-GGA).

a = 4.6099 Å, b = 4.6099 Å, c = 8.1894 Å
α = 90.00°, β = 90.00°, γ = 120.00°
Fractional coordinates of all 8 atoms:
Li1 0.0000 0.0000 0.2500
Li2 0.0000 0.0000 0.7500
Bi1 0.3333 0.6667 0.2500
Bi2 0.6667 0.3333 0.7500
Pd1 0.3333 0.6667 0.5842
Pd2 0.3333 0.6667 0.9158
Pd3 0.6667 0.3333 0.0842
Pd4 0.6667 0.3333 0.4158

As for the space-group type: No. 194. Its total energy is -4.36 eV per atom.

***

[9]
Entry from OQMD: a geometry-optimized YReNO structure (PBE-GGA).

a = 3.8350 Å, b = 5.3275 Å, c = 4.9541 Å
α = 90.00°, β = 90.00°, γ = 90.00°
Fractional coordinates of all 8 atoms:
Y1 0.0000 0.2082 0.0000
Y2 0.0000 0.7918 0.5000
Re1 0.5000 0.3426 0.4997
Re2 0.5000 0.6574 0.9997
N1 0.0000 0.3316 0.4995
N2 0.0000 0.6684 0.9995
O1 0.5000 0.0038 0.7557
O2 0.5000 0.9962 0.2557

As for the space-group type: No. 26. Its spin magnetization is 0.00 μB/f.u. Its total energy is -9.28 eV per atom. The relative energy among the computed polymorphs comes out at 0.2921 eV/atom.

***

[10]
Entry from OQMD: a geometry-optimized LiCu3Te4Pt structure (PBE-GGA).

a = 6.0296 Å, b = 6.0296 Å, c = 6.0296 Å
α = 90.00°, β = 90.00°, γ = 90.00°
Fractional coordinates of all 9 atoms:
Li1 0.0000 0.0000 0.0000
Cu1 0.0000 0.5000 0.5000
Cu2 0.5000 0.0000 0.5000
Cu3 0.5000 0.5000 0.0000
Te1 0.2475 0.2475 0.2475
Te2 0.2475 0.7525 0.7525
Te3 0.7525 0.2475 0.7525
Te4 0.7525 0.7525 0.2475
Pt1 0.5000 0.5000 0.5000

As for the space-group type: No. 215. Its spin magnetization is 0.00 μB/f.u. Its total energy is -3.62 eV per atom.

***

[11]
Entry from OQMD: a geometry-optimized NaZrAgS3 structure (PBE-GGA).

a = 8.4525 Å, b = 8.4525 Å, c = 8.5848 Å
α = 103.01°, β = 103.01°, γ = 25.45°
Fractional coordinates of all 12 atoms:
Na1 0.1237 0.1237 0.0830
Na2 0.8763 0.8763 0.9170
Zr1 0.1661 0.1661 0.5904
Zr2 0.8339 0.8339 0.4096
Ag1 0.4640 0.4640 0.2646
Ag2 0.5360 0.5360 0.7354
S1 0.0000 0.0000 0.5000
S2 0.3064 0.3064 0.1977
S3 0.3287 0.3287 0.6201
S4 0.5000 0.5000 0.0000
S5 0.6713 0.6713 0.3799
S6 0.6936 0.6936 0.8023

As for the space-group type: No. 12. Its spin magnetization is 0.00 μB/f.u. Its total energy is -5.22 eV per atom. The relative energy among the computed polymorphs comes out at 0.0524 eV/atom.

***

[12]
Entry from OQMD: a geometry-optimized AcPOsO structure (PBE-GGA).

a = 4.4130 Å, b = 4.3014 Å, c = 7.3896 Å
α = 90.00°, β = 90.00°, γ = 90.00°
Fractional coordinates of all 8 atoms:
Ac1 0.0000 0.2494 0.0000
Ac2 0.0000 0.7506 0.5000
P1 0.5000 0.2478 0.6679
P2 0.5000 0.7522 0.1679
Os1 0.5000 0.2591 0.3351
Os2 0.5000 0.7409 0.8351
O1 0.0000 0.2483 0.3336
O2 0.0000 0.7517 0.8336

As for the space-group type: No. 26. Its spin magnetization is 0.33 μB/f.u. Its total energy is -7.59 eV per atom. The relative energy among the computed polymorphs comes out at 0.6954 eV/atom.

***

The lowest total energy belongs to which entry?
Re6PdPt

***

Among the records above, which one has the lowest total energy?
Re6PdPt